(1)
First-principles (GGA-PBE) data for a relaxed structure of Ac2AlCu2O6, as listed in the Alexandria database.

The structure in POSCAR format:
```
Ac2AlCu2O6
1.0
2.907 1.678 5.029
-2.907 1.678 5.029
0.000 -3.356 5.029
Ac Al Cu O
2 1 2 6
direct
0.221 0.221 0.221 Ac
0.779 0.779 0.779 Ac
0.000 0.000 0.000 Al
0.417 0.417 0.417 Cu
0.583 0.583 0.583 Cu
0.209 0.771 0.771 O
0.229 0.229 0.791 O
0.229 0.791 0.229 O
0.771 0.209 0.771 O
0.771 0.771 0.209 O
0.791 0.229 0.229 O
```


(2)
First-principles (GGA-PBE) data for a relaxed structure of Ho2TcPd, as listed in the Alexandria database.

The structure in POSCAR format:
```
Ho2TcPd
1.0
3.475 0.000 0.000
0.000 3.475 0.000
0.000 0.000 6.802
Ho Tc Pd
2 1 1
direct
0.000 0.000 0.242 Ho
0.000 0.000 0.758 Ho
0.500 0.500 0.000 Tc
0.500 0.500 0.500 Pd
```


DOS at the Fermi energy for the records above, in order: 6.8; 4.2 states/eV/f.u.
Calculated total energy for the records above, in order: -6.71; -6.63 eV per atom
Theoretical density for the records above, in order: 7.94; 10.80 g cm⁻³